[1]
First-principles (GGA-PBE) data for Dy5InRh after structural relaxation, as listed in the Alexandria database.

Cell and atoms, written as POSCAR:
```
Dy5InRh
1.0
5.876 -0.415 -0.068
1.471 5.704 -0.068
2.735 1.969 11.358
Rh Dy In
2 10 2
Cartesian
0.000 0.000 0.000
1.367 0.984 5.679
6.528 0.122 2.772
6.598 3.178 1.299
6.435 6.146 10.523
3.607 1.025 4.244
3.647 1.112 0.700
3.483 4.080 9.923
6.502 3.168 4.844
3.554 7.136 8.451
3.579 4.090 6.379
6.474 6.234 6.978
6.167 3.507 8.451
3.915 3.751 2.772
```

Properties
* D(E_F): 14.47 states/eV per cell
* energy relative to the elements: -1.98 eV/f.u.
* crystal system: monoclinic

[2]
First-principles (GGA-PBE) data for Dy2InRh after structural relaxation, as listed in the Alexandria database.

Cell and atoms, written as POSCAR:
```
Dy2InRh
1.0
-2.063 -2.935 -1.283
0.008 -3.306 1.894
-7.175 0.501 4.736
Dy In Rh
2 1 1
Cartesian
-1.995 -1.559 1.118
-7.236 -4.181 4.228
-4.615 -2.870 2.673
0.000 0.000 0.000
```

Properties
* D(E_F): 2.34 states/eV per cell
* energy relative to the elements: -2.14 eV/f.u.
* crystal system: trigonal

[3]
First-principles (GGA-PBE) data for Dy2InRh after structural relaxation, as listed in the Alexandria database.

Cell and atoms, written as POSCAR:
```
Dy2InRh
1.0
5.096 0.000 0.000
2.548 4.413 0.000
2.548 1.471 4.161
Dy In Rh
2 1 1
Cartesian
7.644 4.413 3.121
2.548 1.471 1.040
5.096 2.942 2.080
0.000 0.000 0.000
```

Properties
* D(E_F): 2.24 states/eV per cell
* energy relative to the elements: -2.25 eV/f.u.
* crystal system: cubic